This record from Alexandria describes TiZn4Pd5 after structural relaxation. The functional is PBE.

Output
Raw total energy   -4.45 eV per atom
Crystal system   tetragonal
DOS at the Fermi energy   0.5998 states/eV/atom

a b c (Å): 2.8987 2.8987 17.5001
angles (deg): 90.00 90.00 90.00
Space group P4/mmm (No. 123)
Inequivalent atoms, fractional coordinates:
Ti1 0.0000 0.0000 0.0000
Zn1 0.0000 0.0000 0.2055
Zn2 0.0000 0.0000 0.4020
Pd1 0.5000 0.5000 0.1063
Pd2 0.5000 0.5000 0.3036
Pd3 0.5000 0.5000 0.5000